Computed, not measured: a geometry-optimized SrTl2Pd9 structure at the PBE level of DFT.

Cell and atoms, written as POSCAR:
```
SrTl2Pd9
1.0
2.7403 1.5821 8.7557
-2.7403 1.5821 8.7557
0.0000 -3.1642 8.7557
Sr Tl Pd
1 2 9
Direct
0.0000 0.0000 0.0000
0.1399 0.1399 0.1399
0.8601 0.8601 0.8601
0.0811 0.5879 0.5879
0.3334 0.3334 0.3334
0.4121 0.4121 0.9189
0.4121 0.9189 0.4121
0.5000 0.5000 0.5000
0.5879 0.0811 0.5879
0.5879 0.5879 0.0811
0.6666 0.6666 0.6666
0.9189 0.4121 0.4121
```

- Space group: No. 166
- Volume: 227.8 Å³ per cell
- Relative energy among the computed polymorphs: 18 meV/atom

Computed, not measured: a geometry-optimized Sr3Tl3Pd structure at the PBE level of DFT.

Cell and atoms, written as POSCAR:
```
Sr3Tl3Pd
1.0
6.2406 -2.1465 0.0000
6.2406 2.1465 0.0000
-4.7446 0.0000 16.8229
Sr Tl Pd
6 6 2
Direct
0.0176 0.0176 0.3882
0.1131 0.1131 0.9221
0.2351 0.2351 0.2418
0.7649 0.7649 0.7582
0.8869 0.8869 0.0779
0.9824 0.9824 0.6118
0.3307 0.3307 0.4598
0.3876 0.3876 0.9206
0.4878 0.4878 0.7662
0.5122 0.5122 0.2338
0.6124 0.6124 0.0794
0.6693 0.6693 0.5402
0.2957 0.2957 0.6274
0.7043 0.7043 0.3726
```

- Space group: No. 12
- Volume: 450.7 Å³ per cell
- DFT total energy: -41.0 eV per cell

Computed, not measured: a geometry-optimized SrTl2Pd5 structure at the PBE level of DFT.

Cell and atoms, written as POSCAR:
```
SrTl2Pd5
1.0
-2.0838 3.4711 5.9069
2.0838 -3.4711 5.9069
2.0838 3.4711 -5.9069
Sr Tl Pd
1 2 5
Direct
0.0000 0.0000 0.0000
0.2645 0.7645 0.5000
0.7355 0.2355 0.5000
0.1828 0.3829 0.7998
0.4169 0.6171 0.7998
0.5000 0.0000 0.5000
0.5831 0.3829 0.2002
0.8172 0.6171 0.2002
```

- Space group: No. 71
- Volume: 170.9 Å³ per cell
- DFT total energy: -34.8 eV per cell

Computed, not measured: a geometry-optimized SrTmTlPd structure at the PBE level of DFT.

Cell and atoms, written as POSCAR:
```
SrTmTlPd
1.0
0.0000 3.7495 3.7495
3.7495 0.0000 3.7495
3.7495 3.7495 0.0000
Sr Tm Tl Pd
1 1 1 1
Direct
0.0000 0.0000 0.0000
0.5000 0.5000 0.5000
0.7500 0.7500 0.7500
0.2500 0.2500 0.2500
```

- Space group: No. 216
- Volume: 105.4 Å³ per cell
- DFT total energy: -15.3 eV per cell

Computed, not measured: a geometry-optimized Sr2TlZn2Pd5 structure at the PBE level of DFT.

Cell and atoms, written as POSCAR:
```
Sr2TlZn2Pd5
1.0
10.1414 0.0000 0.0000
0.0000 10.1414 0.0000
0.0000 0.0000 3.8253
Sr Tl Zn Pd
4 2 4 10
Direct
0.1781 0.3219 0.0000
0.3219 0.8219 0.0000
0.6781 0.1781 0.0000
0.8219 0.6781 0.0000
0.0000 0.0000 0.0000
0.5000 0.5000 0.0000
0.1194 0.6194 0.0000
0.3806 0.1194 0.0000
0.6194 0.8806 0.0000
0.8806 0.3806 0.0000
0.0000 0.5000 0.5000
0.0648 0.7872 0.5000
0.2128 0.0648 0.5000
0.2872 0.5648 0.5000
0.4352 0.2872 0.5000
0.5000 0.0000 0.5000
0.5648 0.7128 0.5000
0.7128 0.4352 0.5000
0.7872 0.9352 0.5000
0.9352 0.2128 0.5000
```

- Space group: No. 127
- Volume: 393.4 Å³ per cell
- DFT total energy: -79.0 eV per cell

Computed, not measured: a geometry-optimized SrTm2Pd structure at the PBE level of DFT.

Cell and atoms, written as POSCAR:
```
SrTm2Pd
1.0
3.5474 0.0000 0.0000
0.0000 3.5474 0.0000
0.0000 0.0000 9.5365
Sr Tm Pd
1 2 1
Direct
0.0000 0.0000 0.0000
0.5000 0.5000 0.3285
0.5000 0.5000 0.6715
0.0000 0.0000 0.5000
```

- Space group: No. 123
- Volume: 120.0 Å³ per cell
- Relative energy among the computed polymorphs: 0 meV/atom

Computed, not measured: a geometry-optimized SrTmPd structure at the PBE level of DFT.

Cell and atoms, written as POSCAR:
```
SrTmPd
1.0
-1.8154 1.8154 6.6331
1.8154 -1.8154 6.6331
1.8154 1.8154 -6.6331
Sr Tm Pd
1 1 1
Direct
0.0000 0.0000 0.0000
0.2640 0.2640 0.0000
0.6649 0.6649 0.0000
```

- Space group: No. 107
- Volume: 87.4 Å³ per cell
- DFT total energy: -12.8 eV per cell

Computed, not measured: a geometry-optimized SrTm3Pd structure at the PBE level of DFT.

Cell and atoms, written as POSCAR:
```
SrTm3Pd
1.0
5.5003 0.0000 0.0000
0.0000 5.5003 0.0000
0.0000 0.0000 5.5003
Sr Tm Pd
1 3 1
Direct
0.0000 0.0000 0.0000
0.0000 0.5000 0.5000
0.5000 0.0000 0.5000
0.5000 0.5000 0.0000
0.5000 0.5000 0.5000
```

- Space group: No. 221
- Volume: 166.4 Å³ per cell
- DFT total energy: -21.3 eV per cell

Computed, not measured: a geometry-optimized SrTm2Pd structure at the PBE level of DFT.

Cell and atoms, written as POSCAR:
```
SrTm2Pd
1.0
2.0025 1.1561 10.5804
-2.0025 1.1561 10.5804
0.0000 -2.3123 10.5804
Sr Tm Pd
1 2 1
Direct
0.0000 0.0000 0.0000
0.1191 0.1191 0.1191
0.8809 0.8809 0.8809
0.5000 0.5000 0.5000
```

- Space group: No. 166
- Volume: 147.0 Å³ per cell
- Relative energy among the computed polymorphs: 152 meV/atom

Computed, not measured: a geometry-optimized SrTmPd4 structure at the PBE level of DFT.

Cell and atoms, written as POSCAR:
```
SrTmPd4
1.0
0.0000 3.8922 3.8922
3.8922 0.0000 3.8922
3.8922 3.8922 0.0000
Sr Tm Pd
1 1 4
Direct
0.0000 0.0000 0.0000
0.7500 0.7500 0.7500
0.3755 0.3755 0.3755
0.3755 0.3755 0.8735
0.3755 0.8735 0.3755
0.8735 0.3755 0.3755
```

- Space group: No. 216
- Volume: 117.9 Å³ per cell
- DFT total energy: -30.9 eV per cell